Below is crystalline SrGe2C at its relaxed geometry, with properties calculated at the PBE level.

The space group is I-42d (No. 122) and the conventional cell measures 7.0442, 7.0442 and 6.3800 Å, with angles of 90.00, 90.00 and 90.00 degrees. Symmetry generates all atoms from Sr at (0.0000, 0.0000, 0.0000), Ge at (0.1425, 0.2500, 0.6250) and C at (0.0000, 0.0000, 0.5000).

The spin magnetization comes out at 0.00 μB/cell. As for the formation energy: 423 meV/atom.